# ThUCrC3

ThUCrC3 after structural relaxation (PBE-GGA, the Alexandria database).

a = 13.3317 Å, b = 3.7946 Å, c = 6.9360 Å
α = 90.00°, β = 104.97°, γ = 90.00°
Space group C2/m (No. 12)
Inequivalent atoms, fractional coordinates:
Th1 0.1403 0.0000 0.0709 [4 per cell]
U1 0.1529 0.0000 0.5778 [4 per cell]
Cr1 0.0001 0.5000 0.3094 [4 per cell]
C1 0.0015 0.0000 0.2786 [4 per cell]
C2 0.1627 0.5000 0.8021 [4 per cell]
C3 0.1657 0.5000 0.3596 [4 per cell]

Summary:
The energy of formation from the pure elements is -0.19 eV per atom. The density comes out at 10.94 g/cm3.